No. 1
The following is a DFT calculation (PBE) of an optimized crystal structure of InTeIrPd2.

Cell lengths 4.8548, 5.4527, 4.8548 Å; angles 90.00, 90.00, 90.00 degrees
With the nearest neighbours (Å) after each atom.
Positions (direct):
Pd1 0.5000 0.0000 0.0000  2 In 2.43
Te1 0.0000 0.5000 0.0000  2 In 2.73
In1 0.0000 0.0000 0.0000  4 Pd 2.43
Pd2 0.0000 0.0000 0.5000  2 In 2.43
Ir1 0.5000 0.5000 0.5000  4 Te 3.43, 8 Pd 3.65

E_tot: -18.12 eV per cell
raw formation energy: 1.402 eV per atom
ρ: 8.4 g cm⁻³


No. 2
The following is a DFT calculation (PBE) of an optimized crystal structure of TiInIrPd.

Cell lengths 4.1610, 4.1635, 4.7691 Å; angles 115.88, 115.86, 90.00 degrees
With the nearest neighbours (Å) after each atom.
Positions (direct):
Pd1 0.0000 0.0000 0.0001  4 Ti 2.80, 4 In 2.80, 4 Ir 2.94
In1 0.2500 0.7500 0.5000  4 Pd 2.80, 4 Ir 2.80, 4 Ti 2.94
Ti1 0.7501 0.2501 0.5001  4 Ir 2.80, 4 Pd 2.80, 4 In 2.94
Ir1 0.4999 0.4999 0.9998  4 Ti 2.80, 4 In 2.80, 4 Pd 2.94

E_tot: -26.88 eV per cell
ρ: 11.8 g cm⁻³
energy relative to the elements: -548 meV/atom


No. 3
The following is a DFT calculation (PBE) of an optimized crystal structure of TlInIr2Pd.

Cell lengths 4.9239, 4.9520, 4.9239 Å; angles 90.00, 90.00, 90.00 degrees
With the nearest neighbours (Å) after each atom.
Positions (direct):
In1 0.0000 0.5000 0.0000  2 Pd 2.48
Ir1 0.0000 0.0000 0.5000  2 Pd 2.46
Pd1 0.0000 0.0000 0.0000  4 Ir 2.46, 2 In 2.48
Tl1 0.5000 0.5000 0.5000  4 In 3.48, 8 Ir 3.49
Ir2 0.5000 0.0000 0.0000  2 Pd 2.46

E_tot: -21.96 eV per cell
ρ: 11.2 g cm⁻³
energy relative to the elements: 1212 meV/atom


No. 4
The following is a DFT calculation (PBE) of an optimized crystal structure of TlInIrPd2.

Cell lengths 4.8815, 5.4277, 4.8815 Å; angles 90.00, 90.00, 90.00 degrees
With the nearest neighbours (Å) after each atom.
Positions (direct):
Tl1 0.0000 0.5000 0.0000  2 In 2.71
Pd1 0.0000 0.0000 0.5000  2 In 2.44
In1 0.0000 0.0000 0.0000  4 Pd 2.44, 2 Tl 2.71
Pd2 0.5000 0.0000 0.0000  2 In 2.44
Ir1 0.5000 0.5000 0.5000  4 Tl 3.45, 8 Pd 3.65

E_tot: -17.43 eV per cell
ρ: 9.3 g cm⁻³
energy relative to the elements: 1385 meV/atom


No. 5
The following is a DFT calculation (PBE) of an optimized crystal structure of Tm3In3Ir2Pd.

Cell lengths 3.7886, 7.5970, 7.5970 Å; angles 120.00, 90.00, 90.00 degrees
With the nearest neighbours (Å) after each atom.
Positions (direct):
In1 0.5000 0.2614 0.2614  2 Pd 2.74, 2 Ir 2.84
Pd1 0.0000 0.0000 0.0000  6 In 2.74
In2 0.5000 0.7386 0.0000  2 Pd 2.74, 2 Ir 2.84
In3 0.5000 0.0000 0.7386  2 Pd 2.74, 2 Ir 2.84
Tm1 0.0000 0.0000 0.4100  4 Ir 2.98, 1 Pd 3.11, 6 In 3.13-3.32
Ir1 0.5000 0.3333 0.6667  3 In 2.84, 6 Tm 2.98
Tm2 0.0000 0.5900 0.5900  4 Ir 2.98, 1 Pd 3.11, 6 In 3.13-3.32
Tm3 0.0000 0.4100 0.0000  4 Ir 2.98, 1 Pd 3.11, 6 In 3.13-3.32
Ir2 0.5000 0.6667 0.3333  3 In 2.84, 6 Tm 2.98

E_tot: -51.36 eV per cell
ρ: 11.8 g cm⁻³
energy relative to the elements: -757 meV/atom


No. 6
The following is a DFT calculation (PBE) of an optimized crystal structure of Tm5In2Ir2Pd.

Cell lengths 3.5681, 11.5192, 11.5192 Å; angles 90.00, 90.00, 90.00 degrees
With the nearest neighbours (Å) after each atom.
Positions (direct):
Tm1 0.5000 0.1980 0.0712  2 Ir 2.72, 2 Pd 3.01
In1 0.0000 0.8253 0.6747  1 Ir 3.09, 6 Tm 3.36-3.44
Ir1 0.0000 0.1354 0.6354  6 Tm 2.72-2.84
Tm2 0.5000 0.4288 0.3020  2 Ir 2.72, 2 Pd 3.01
Tm3 0.5000 0.5000 0.0000  4 Ir 2.84
Ir2 0.0000 0.3646 0.1354  6 Tm 2.72-2.84
Ir3 0.0000 0.8646 0.3646  6 Tm 2.72-2.84
Tm4 0.5000 0.0000 0.5000  4 Ir 2.84
Tm5 0.5000 0.9288 0.1980  2 Ir 2.72, 2 Pd 3.01
Tm6 0.5000 0.8020 0.9288  2 Ir 2.72, 2 Pd 3.01
Pd1 0.0000 0.0000 0.0000  8 Tm 3.01
Tm7 0.5000 0.0712 0.8020  2 Ir 2.72, 2 Pd 3.01
Ir4 0.0000 0.6354 0.8646  6 Tm 2.72-2.84
Tm8 0.5000 0.5712 0.6980  2 Ir 2.72, 2 Pd 3.01
In2 0.0000 0.3253 0.8253  1 Ir 3.09, 6 Tm 3.36-3.44
Tm9 0.5000 0.3020 0.5712  2 Ir 2.72, 2 Pd 3.01
In3 0.0000 0.1747 0.3253  1 Ir 3.09, 6 Tm 3.36-3.44
In4 0.0000 0.6747 0.1747  1 Ir 3.09, 6 Tm 3.36-3.44
Pd2 0.0000 0.5000 0.5000  8 Tm 3.01
Tm10 0.5000 0.6980 0.4288  2 Ir 2.72, 2 Pd 3.01

E_tot: -115.52 eV per cell
ρ: 11.0 g cm⁻³
energy relative to the elements: -701 meV/atom


No. 7
The following is a DFT calculation (PBE) of an optimized crystal structure of TmInIrPd.

Cell lengths 4.7249, 4.7249, 4.7249 Å; angles 60.00, 60.00, 60.00 degrees
With the nearest neighbours (Å) after each atom.
Positions (direct):
In1 0.7500 0.7500 0.7500  4 Ir 2.89, 4 Pd 2.89
Pd1 0.5000 0.5000 0.5000  4 Tm 2.89, 4 In 2.89
Ir1 0.0000 0.0000 0.0000  4 In 2.89, 4 Tm 2.89
Tm1 0.2500 0.2500 0.2500  4 Ir 2.89, 4 Pd 2.89

E_tot: -24.10 eV per cell
ρ: 13.0 g cm⁻³
energy relative to the elements: -710 meV/atom


No. 8
The following is a DFT calculation (PBE) of an optimized crystal structure of ZrInIr2Pd.

Cell lengths 4.9422, 4.6548, 4.9422 Å; angles 90.00, 90.00, 90.00 degrees
With the nearest neighbours (Å) after each atom.
Positions (direct):
Pd1 0.0000 0.0000 0.0000  2 Zr 2.33, 4 Ir 2.47
Ir1 0.0000 0.0000 0.5000  2 Pd 2.47
Zr1 0.0000 0.5000 0.0000  2 Pd 2.33
Ir2 0.5000 0.0000 0.0000  2 Pd 2.47
In1 0.5000 0.5000 0.5000  8 Ir 3.39, 4 Zr 3.49

E_tot: -28.93 eV per cell
ρ: 10.2 g cm⁻³
energy relative to the elements: 1053 meV/atom


Q: The lowest ρ belongs to which entry?
A: InTeIrPd2


Q: ρ of number 4 (TlInIrPd2)?
A: 9.3 g cm⁻³